Material: Mg2GaAs
Method: DFT, PBE
State: optimized geometry

a = 6.616 Å, b = 4.074 Å, c = 7.072 Å
α = 90.00°, β = 114.99°, γ = 90.00°
Atoms (fractional coordinates):
Mg (0.000, 0.000, 0.000)
Mg (0.055, 0.500, 0.397)
Mg (0.429, 0.000, 0.831)
Mg (0.713, 0.500, 0.613)
Ga (0.387, 0.000, 0.383)
Ga (0.399, 0.500, 0.159)
As (0.714, 0.500, 0.004)
As (0.989, 0.000, 0.618)

Output
Total magnetization ... 0.00 μB/f.u.
ΔE to the lowest computed polymorph ... 56 meV per atom
Calculated volume ... 21.6 Å³/atom

Material: Mg2GaAs
Method: DFT, PBE
State: optimized geometry

a = 6.745 Å, b = 4.033 Å, c = 7.066 Å
α = 90.00°, β = 115.89°, γ = 90.00°
Atoms (fractional coordinates):
Mg (0.000, 0.000, 0.000)
Mg (0.093, 0.500, 0.395)
Mg (0.424, 0.000, 0.768)
Mg (0.685, 0.500, 0.588)
Ga (0.665, 0.000, 0.223)
Ga (0.706, 0.500, 0.009)
As (0.373, 0.000, 0.363)
As (0.991, 0.000, 0.618)

Output
Total magnetization ... 0.00 μB/f.u.
ΔE to the lowest computed polymorph ... 59 meV per atom
Calculated volume ... 21.6 Å³/atom

Material: Mg2GaAs2
Method: DFT, PBE
State: optimized geometry

a = 8.112 Å, b = 8.112 Å, c = 3.061 Å
α = 90.00°, β = 90.00°, γ = 90.00°
Atoms (fractional coordinates):
Mg (0.141, 0.359, 0.000)
Mg (0.359, 0.859, 0.000)
Mg (0.641, 0.141, 0.000)
Mg (0.859, 0.641, 0.000)
Ga (0.000, 0.000, 0.500)
Ga (0.500, 0.500, 0.500)
As (0.158, 0.658, 0.500)
As (0.342, 0.158, 0.500)
As (0.658, 0.842, 0.500)
As (0.842, 0.342, 0.500)

Output
Total magnetization ... 0.00 μB/f.u.
ΔE to the lowest computed polymorph ... 0 meV per atom
Calculated volume ... 20.1 Å³/atom

Material: Mg2GaNiAs
Method: DFT, PBE
State: optimized geometry

a = 4.903 Å, b = 4.903 Å, c = 4.999 Å
α = 90.00°, β = 90.00°, γ = 90.00°
Atoms (fractional coordinates):
Mg (0.000, 0.500, 0.000)
Mg (0.500, 0.000, 0.000)
Ga (0.000, 0.000, 0.500)
Ni (0.500, 0.500, 0.500)
As (0.000, 0.000, 0.000)

Output
Total magnetization ... 0.00 μB/f.u.
Calculated volume ... 24.0 Å³/atom
E_tot ... -13.96 eV per cell

Material: MgGa2NiAs
Method: DFT, PBE
State: optimized geometry

a = 4.888 Å, b = 4.888 Å, c = 4.933 Å
α = 90.00°, β = 90.00°, γ = 90.00°
Atoms (fractional coordinates):
Mg (0.000, 0.000, 0.000)
Ga (0.000, 0.500, 0.500)
Ga (0.500, 0.000, 0.500)
Ni (0.500, 0.500, 0.000)
As (0.000, 0.000, 0.500)

Output
Total magnetization ... 0.00 μB/f.u.
Calculated volume ... 23.6 Å³/atom
E_tot ... -14.44 eV per cell

Material: MgGaAs2O6
Method: DFT, PBE
State: optimized geometry

a = 6.612 Å, b = 6.612 Å, c = 5.826 Å
α = 104.14°, β = 104.14°, γ = 81.63°
Atoms (fractional coordinates):
Mg (0.086, 0.914, 0.750)
Mg (0.914, 0.086, 0.250)
Ga (0.287, 0.713, 0.250)
Ga (0.713, 0.287, 0.750)
As (0.178, 0.416, 0.667)
As (0.416, 0.178, 0.167)
As (0.584, 0.822, 0.833)
As (0.822, 0.584, 0.333)
O (0.017, 0.214, 0.674)
O (0.157, 0.647, 0.897)
O (0.214, 0.017, 0.174)
O (0.299, 0.425, 0.288)
O (0.353, 0.843, 0.603)
O (0.425, 0.299, 0.788)
O (0.575, 0.701, 0.212)
O (0.647, 0.157, 0.397)
O (0.701, 0.575, 0.712)
O (0.786, 0.983, 0.826)
O (0.843, 0.353, 0.103)
O (0.983, 0.786, 0.326)

Output
Total magnetization ... 0.00 μB/f.u.
E_form (uncorrected) ... -1480 kJ/mol of formula units
Calculated volume ... 11.9 Å³/atom

Material: MgGa2AsO6
Method: DFT, PBE
State: optimized geometry

a = 6.640 Å, b = 6.640 Å, c = 5.315 Å
α = 97.32°, β = 97.32°, γ = 85.07°
Atoms (fractional coordinates):
Mg (0.089, 0.911, 0.750)
Mg (0.911, 0.089, 0.250)
Ga (0.209, 0.402, 0.720)
Ga (0.402, 0.209, 0.220)
Ga (0.598, 0.791, 0.780)
Ga (0.791, 0.598, 0.280)
As (0.260, 0.740, 0.250)
As (0.740, 0.260, 0.750)
O (0.008, 0.208, 0.635)
O (0.135, 0.643, 0.909)
O (0.208, 0.008, 0.135)
O (0.274, 0.438, 0.396)
O (0.357, 0.865, 0.591)
O (0.438, 0.274, 0.896)
O (0.562, 0.726, 0.104)
O (0.643, 0.135, 0.409)
O (0.726, 0.562, 0.604)
O (0.792, 0.992, 0.865)
O (0.865, 0.357, 0.091)
O (0.992, 0.792, 0.365)

Output
Total magnetization ... 0.00 μB/f.u.
E_form (uncorrected) ... -1678 kJ/mol of formula units
Calculated volume ... 11.5 Å³/atom

Material: MgGaAs2O8
Method: DFT, PBE
State: optimized geometry

a = 5.616 Å, b = 5.616 Å, c = 5.616 Å
α = 108.14°, β = 108.14°, γ = 112.16°
Atoms (fractional coordinates):
Mg (0.000, 0.000, 0.000)
Ga (0.750, 0.250, 0.500)
As (0.250, 0.750, 0.500)
As (0.500, 0.500, 0.000)
O (0.066, 0.374, 0.307)
O (0.066, 0.759, 0.693)
O (0.121, 0.318, 0.803)
O (0.241, 0.934, 0.307)
O (0.515, 0.318, 0.197)
O (0.626, 0.934, 0.693)
O (0.682, 0.485, 0.803)
O (0.682, 0.879, 0.197)

Output
Total magnetization ... 1.05 μB/f.u.
E_form (uncorrected) ... -1515 kJ/mol of formula units
Calculated volume ... 11.3 Å³/atom

Material: Rb2MgGaAs
Method: DFT, PBE
State: optimized geometry

a = 6.816 Å, b = 6.816 Å, c = 5.001 Å
α = 90.00°, β = 90.00°, γ = 90.00°
Atoms (fractional coordinates):
Rb (0.000, 0.500, 0.000)
Rb (0.500, 0.000, 0.000)
Mg (0.000, 0.000, 0.500)
Ga (0.500, 0.500, 0.000)
As (0.500, 0.500, 0.500)

Output
Total magnetization ... 0.00 μB/f.u.
Calculated volume ... 46.5 Å³/atom
E_tot ... -10.57 eV per cell

Material: MgGa2ReAs
Method: DFT, PBE
State: optimized geometry

a = 4.812 Å, b = 4.812 Å, c = 4.950 Å
α = 90.00°, β = 90.00°, γ = 90.00°
Atoms (fractional coordinates):
Mg (0.000, 0.000, 0.000)
Ga (0.000, 0.500, 0.000)
Ga (0.500, 0.000, 0.000)
Re (0.000, 0.000, 0.500)
As (0.500, 0.500, 0.500)

Output
Total magnetization ... 2.68 μB/f.u.
Calculated volume ... 22.9 Å³/atom
E_tot ... -17.53 eV per cell

Material: MgGa2AsRu
Method: DFT, PBE
State: optimized geometry

a = 4.762 Å, b = 4.762 Å, c = 5.077 Å
α = 90.00°, β = 90.00°, γ = 90.00°
Atoms (fractional coordinates):
Mg (0.000, 0.000, 0.000)
Ga (0.000, 0.500, 0.500)
Ga (0.500, 0.000, 0.500)
As (0.500, 0.500, 0.000)
Ru (0.000, 0.000, 0.500)

Output
Total magnetization ... 1.27 μB/f.u.
Calculated volume ... 23.0 Å³/atom
E_tot ... -20.11 eV per cell

Material: MgGaAs2Se
Method: DFT, PBE
State: optimized geometry

a = 4.875 Å, b = 4.875 Å, c = 5.151 Å
α = 90.00°, β = 90.00°, γ = 90.00°
Atoms (fractional coordinates):
Mg (0.000, 0.000, 0.000)
Ga (0.500, 0.500, 0.500)
As (0.000, 0.500, 0.500)
As (0.500, 0.000, 0.500)
Se (0.500, 0.500, 0.000)

Output
Total magnetization ... 0.00 μB/f.u.
E_form (uncorrected) ... 191 kJ/mol of formula units
ΔE to the lowest computed polymorph ... 0 meV per atom
Calculated volume ... 24.5 Å³/atom

Material: MgGaAsSe2
Method: DFT, PBE
State: optimized geometry

a = 5.103 Å, b = 5.103 Å, c = 4.773 Å
α = 90.00°, β = 90.00°, γ = 90.00°
Atoms (fractional coordinates):
Mg (0.000, 0.000, 0.000)
Ga (0.500, 0.500, 0.500)
As (0.500, 0.500, 0.000)
Se (0.000, 0.500, 0.500)
Se (0.500, 0.000, 0.500)

Output
Total magnetization ... 0.37 μB/f.u.
E_form (uncorrected) ... 108 kJ/mol of formula units
ΔE to the lowest computed polymorph ... 0 meV per atom
Calculated volume ... 24.9 Å³/atom

Material: MgGaAs2Se
Method: DFT, PBE
State: optimized geometry

a = 5.027 Å, b = 5.027 Å, c = 5.162 Å
α = 90.00°, β = 90.00°, γ = 90.00°
Atoms (fractional coordinates):
Mg (0.000, 0.000, 0.000)
Ga (0.500, 0.500, 0.500)
As (0.000, 0.500, 0.000)
As (0.500, 0.000, 0.000)
Se (0.000, 0.000, 0.500)

Output
Total magnetization ... 0.00 μB/f.u.
E_form (uncorrected) ... 214 kJ/mol of formula units
ΔE to the lowest computed polymorph ... 48 meV per atom
Calculated volume ... 26.1 Å³/atom

Material: MgGaAsSe2
Method: DFT, PBE
State: optimized geometry

a = 5.164 Å, b = 5.164 Å, c = 4.979 Å
α = 90.00°, β = 90.00°, γ = 90.00°
Atoms (fractional coordinates):
Mg (0.000, 0.000, 0.000)
Ga (0.500, 0.500, 0.500)
As (0.000, 0.000, 0.500)
Se (0.000, 0.500, 0.000)
Se (0.500, 0.000, 0.000)

Output
Total magnetization ... 0.00 μB/f.u.
E_form (uncorrected) ... 115 kJ/mol of formula units
ΔE to the lowest computed polymorph ... 15 meV per atom
Calculated volume ... 26.6 Å³/atom

Material: MgGa2SiAs4
Method: DFT, PBE
State: optimized geometry

a = 6.976 Å, b = 6.976 Å, c = 6.976 Å
α = 130.53°, β = 130.53°, γ = 72.56°
Atoms (fractional coordinates):
Mg (0.000, 0.000, 0.000)
Ga (0.250, 0.750, 0.500)
Ga (0.750, 0.250, 0.500)
Si (0.500, 0.500, 0.000)
As (0.141, 0.141, 0.531)
As (0.390, 0.859, 0.000)
As (0.610, 0.610, 0.469)
As (0.859, 0.390, 0.000)

Output
Total magnetization ... 0.00 μB/f.u.
E_form (uncorrected) ... -250 kJ/mol of formula units
Calculated volume ... 24.0 Å³/atom

Material: SrMgGa2As
Method: DFT, PBE
State: optimized geometry

a = 5.362 Å, b = 5.362 Å, c = 5.017 Å
α = 90.00°, β = 90.00°, γ = 90.00°
Atoms (fractional coordinates):
Sr (0.000, 0.000, 0.000)
Mg (0.500, 0.500, 0.000)
Ga (0.000, 0.500, 0.500)
Ga (0.500, 0.000, 0.500)
As (0.500, 0.500, 0.500)

Output
Total magnetization ... 0.00 μB/f.u.
Calculated volume ... 28.9 Å³/atom
E_tot ... -13.75 eV per cell

Material: MgZnGa2As
Method: DFT, PBE
State: optimized geometry

a = 4.974 Å, b = 4.974 Å, c = 5.011 Å
α = 90.00°, β = 90.00°, γ = 90.00°
Atoms (fractional coordinates):
Mg (0.000, 0.000, 0.000)
Zn (0.500, 0.500, 0.000)
Ga (0.000, 0.500, 0.500)
Ga (0.500, 0.000, 0.500)
As (0.500, 0.500, 0.500)

Output
Total magnetization ... 0.00 μB/f.u.
Calculated volume ... 24.8 Å³/atom
E_tot ... -11.67 eV per cell

Material: MnGa3As
Method: DFT, PBE
State: optimized geometry

a = 4.657 Å, b = 4.657 Å, c = 4.657 Å
α = 90.00°, β = 90.00°, γ = 90.00°
Atoms (fractional coordinates):
Mn (0.000, 0.000, 0.000)
Ga (0.000, 0.000, 0.500)
Ga (0.000, 0.500, 0.000)
Ga (0.500, 0.000, 0.000)
As (0.500, 0.500, 0.500)

Output
Total magnetization ... 2.94 μB/f.u.
ΔE to the lowest computed polymorph ... 0 meV per atom
Calculated volume ... 20.2 Å³/atom

Material: Mn3GaAs
Method: DFT, PBE
State: optimized geometry

a = 4.791 Å, b = 4.791 Å, c = 4.791 Å
α = 90.00°, β = 90.00°, γ = 90.00°
Atoms (fractional coordinates):
Mn (0.000, 0.000, 0.500)
Mn (0.000, 0.500, 0.000)
Mn (0.500, 0.000, 0.000)
Ga (0.500, 0.500, 0.500)
As (0.000, 0.000, 0.000)

Output
Total magnetization ... 11.23 μB/f.u.
Calculated volume ... 22.0 Å³/atom
E_tot ... -32.61 eV per cell

Material: MnGaAs
Method: DFT, PBE
State: optimized geometry

a = 5.926 Å, b = 5.926 Å, c = 5.926 Å
α = 90.00°, β = 90.00°, γ = 90.00°
Atoms (fractional coordinates):
Mn (0.237, 0.263, 0.737)
Mn (0.263, 0.737, 0.237)
Mn (0.737, 0.237, 0.263)
Mn (0.763, 0.763, 0.763)
Ga (0.010, 0.010, 0.010)
Ga (0.490, 0.990, 0.510)
Ga (0.510, 0.490, 0.990)
Ga (0.990, 0.510, 0.490)
As (0.008, 0.992, 0.492)
As (0.492, 0.008, 0.992)
As (0.508, 0.508, 0.508)
As (0.992, 0.492, 0.008)

Output
Total magnetization ... 2.85 μB/f.u.
Calculated volume ... 17.3 Å³/atom
E_tot ... -67.10 eV per cell

Material: Mn2GaAs2
Method: DFT, PBE
State: optimized geometry

a = 6.157 Å, b = 6.157 Å, c = 6.157 Å
α = 145.21°, β = 145.21°, γ = 50.02°
Atoms (fractional coordinates):
Mn (0.111, 0.111, 0.000)
Mn (0.889, 0.889, 0.000)
Ga (0.500, 0.500, 0.000)
As (0.250, 0.750, 0.500)
As (0.750, 0.250, 0.500)

Output
Total magnetization ... 0.56 μB/f.u.
Calculated volume ... 15.1 Å³/atom
E_tot ... -29.32 eV per cell

Material: MnGa3As
Method: DFT, PBE
State: optimized geometry

a = 5.016 Å, b = 5.016 Å, c = 5.016 Å
α = 90.00°, β = 90.00°, γ = 90.00°
Atoms (fractional coordinates):
Mn (0.000, 0.000, 0.000)
Ga (0.000, 0.500, 0.500)
Ga (0.500, 0.000, 0.500)
Ga (0.500, 0.500, 0.000)
As (0.500, 0.500, 0.500)

Output
Total magnetization ... 4.54 μB/f.u.
ΔE to the lowest computed polymorph ... 323 meV per atom
Calculated volume ... 25.2 Å³/atom